Al5Cr | GGA-PBEsol | optimized geometry

```
data_Al5Cr
_symmetry_space_group_name_H-M 'C 1 m 1'
_symmetry_Int_Tables_number 8
_symmetry_space_group_name_Hall 'C -2y'
_cell_length_a 9.925
_cell_length_b 2.940
_cell_length_c 6.317
_cell_angle_alpha 90.00
_cell_angle_beta 104.46
_cell_angle_gamma 90.00
loop_
_atom_site_label
_atom_site_type_symbol
_atom_site_fract_x
_atom_site_fract_y
_atom_site_fract_z
_atom_site_occupancy
Al1 Al 0.000 0.000 0.000 1
Al2 Al 0.043 0.000 0.569 1
Al3 Al 0.208 0.500 0.919 1
Al4 Al 0.315 0.000 0.638 1
Al5 Al 0.365 0.000 0.253 1
Cr1 Cr 0.153 0.500 0.309 1
```

Properties
Fermi-level density of states   4.2 states/eV per cell
ΔE_f   -6 meV/atom
Spin magnetization   2.43 μB per cell
Uncorrected energy   -5.122 eV per atom
Crystal system   monoclinic
V   178.48 Å³ per cell

=====

Al45Cr7 | GGA-PBEsol | optimized geometry

```
data_Al45Cr7
_symmetry_space_group_name_H-M 'C 1 2/m 1'
_symmetry_Int_Tables_number 12
_symmetry_space_group_name_Hall '-C 2y'
_cell_length_a 20.436
_cell_length_b 7.505
_cell_length_c 10.857
_cell_angle_alpha 90.00
_cell_angle_beta 107.38
_cell_angle_gamma 90.00
loop_
_atom_site_label
_atom_site_type_symbol
_atom_site_fract_x
_atom_site_fract_y
_atom_site_fract_z
_atom_site_occupancy
Al1 Al 0.000 0.000 0.000 1
Al2 Al 0.022 0.000 0.256 1
Al3 Al 0.036 0.312 0.706 1
Al4 Al 0.046 0.303 0.122 1
Al5 Al 0.069 0.183 0.490 1
Al6 Al 0.080 0.500 0.940 1
Al7 Al 0.090 0.500 0.343 1
Al8 Al 0.115 0.000 0.730 1
Al9 Al 0.126 0.000 0.133 1
Al10 Al 0.128 0.500 0.612 1
Al11 Al 0.165 0.193 0.354 1
Al12 Al 0.181 0.313 0.855 1
Al13 Al 0.190 0.314 0.119 1
Al14 Al 0.207 0.188 0.635 1
Al15 Al 0.208 0.000 0.986 1
Al16 Al 0.224 0.500 0.491 1
Cr1 Cr 0.000 0.500 0.500 1
Cr2 Cr 0.085 0.174 0.918 1
Cr3 Cr 0.250 0.000 0.261 1
```

Properties
Fermi-level density of states   33.0 states/eV per cell
ΔE_f   -111 meV/atom
Spin magnetization   0.00 μB per cell
Uncorrected energy   -5.031 eV per atom
Crystal system   monoclinic
V   1589.15 Å³ per cell

=====

AlCr4 | GGA-PBEsol | optimized geometry

```
data_AlCr4
_symmetry_space_group_name_H-M 'I 4/m'
_symmetry_Int_Tables_number 87
_symmetry_space_group_name_Hall '-I 4'
_cell_length_a 6.382
_cell_length_b 6.382
_cell_length_c 2.855
_cell_angle_alpha 90.00
_cell_angle_beta 90.00
_cell_angle_gamma 90.00
loop_
_atom_site_label
_atom_site_type_symbol
_atom_site_fract_x
_atom_site_fract_y
_atom_site_fract_z
_atom_site_occupancy
Al1 Al 0.000 0.000 0.000 1
Cr1 Cr 0.111 0.313 0.500 1
```

Properties
Fermi-level density of states   6.5 states/eV per cell
ΔE_f   -64 meV/atom
Spin magnetization   0.00 μB per cell
Uncorrected energy   -9.076 eV per atom
Crystal system   tetragonal
V   116.27 Å³ per cell